Record 1
# LiCoNi2As

A geometry-optimized LiCoNi2As structure (PBE, the Alexandria database).

Summary:
raw total energy = -4.5884 eV per atom
energy above the lowest structure with this stoichiometry = 117.3 meV/atom

Unit cell a=4.4400 b=4.4400 c=4.3001 alpha=90.00 beta=90.00 gamma=90.00
Closest atoms and distances in Å follow each position.
Space group P4/mmm (No. 123)
Unique sites:
Li1 0.0000 0.0000 0.0000 x1  8 Ni 3.09, 4 As 3.14
Co1 0.5000 0.5000 0.5000 x1  2 As 2.15, 4 Ni 2.22
Ni1 0.0000 0.5000 0.5000 x2  2 Co 2.22
As1 0.5000 0.5000 0.0000 x1  2 Co 2.15

Record 2
# SnGeAu2

A geometry-optimized SnGeAu2 structure (PBE, the Alexandria database).

Summary:
raw total energy = -3.7931 eV per atom
energy above the lowest structure with this stoichiometry = 37.7 meV/atom

Unit cell a=4.0885 b=4.0885 c=18.4409 alpha=90.00 beta=90.00 gamma=120.00
Closest atoms and distances in Å follow each position.
Space group R3m (No. 160, hexagonal axes)
Unique sites:
Sn1 0.0000 0.0000 0.0000 x3  6 Au 2.87-2.94, 1 Ge 3.16
Ge1 0.0000 0.0000 0.1713 x3  6 Au 2.72-2.75
Au1 0.0000 0.0000 0.5780 x3  3 Ge 2.72, 3 Sn 2.87
Au2 0.0000 0.0000 0.7619 x3  3 Ge 2.75, 3 Sn 2.94

Record 3
# Tm3SiH

A geometry-optimized Tm3SiH structure (PBE, the Alexandria database).

Summary:
raw total energy = -4.8248 eV per atom

Unit cell a=6.3494 b=6.1527 c=10.3639 alpha=90.00 beta=96.64 gamma=90.00
Closest atoms and distances in Å follow each position.
Space group P2_1/c (No. 14)
Unique sites:
Tm1 0.0735 0.0685 0.1621 x4  2 H 2.23-2.49
Tm2 0.2179 0.5519 0.0866 x4  2 H 2.30-2.36
Tm3 0.3885 0.1610 0.8842 x4  1 H 2.32
Si1 0.3688 0.6855 0.8426 x4  9 Tm 2.92-3.26
H1 0.0797 0.2410 0.9733 x4  5 Tm 2.23-2.49